Density functional theory data (PBE with a Hubbard U) for an optimized crystal structure of KLaSmFeO6.

Cell lengths 5.808, 5.808, 5.808 Å; angles 60.00, 60.00, 60.00 degrees
Last column: magnetic moment on the atom in μB.
Sites, in units of the cell vectors:
O 0.228 0.772 0.228  -0.04
O 0.772 0.228 0.772  -0.04
O 0.228 0.228 0.772  -0.04
O 0.228 0.772 0.772  -0.04
O 0.772 0.772 0.228  -0.04
O 0.772 0.228 0.228  -0.04
La 0.750 0.750 0.750  0.02
Fe 0.000 0.000 0.000  3.19
Sm 0.500 0.500 0.500  -0.03
K 0.250 0.250 0.250  0.00

Calculated values
* E_tot: -6.720 eV/atom